5
Lattice="-2.041 2.041 7.025 2.041 -2.041 7.025 2.041 2.041 -7.025" Properties=species:S:1:pos:R:3 comment="meta-GGA SCAN KTe2F2, single point on PBEsol structure" raw_formation_energy_mev_per_atom=-1177 volume_a3_per_atom=23.4 pbc="T T T"
K 0.000 0.000 0.000
Te 2.041 0.000 3.512
Te 0.000 2.041 3.512
F 0.000 0.000 5.568
F 0.000 0.000 8.481

9
Lattice="-2.064 3.039 6.229 2.064 -3.039 6.229 2.064 3.039 -6.229" Properties=species:S:1:pos:R:3 comment="meta-GGA SCAN K2ThF6, single point on PBEsol structure" raw_formation_energy_mev_per_atom=-3818 volume_a3_per_atom=17.4 pbc="T T T"
K 0.000 0.000 2.120
K 0.000 0.000 10.338
Th 0.000 0.000 6.229
F 2.064 1.659 -1.785
F 0.000 1.788 0.000
F 2.064 1.659 1.785
F 0.000 1.380 4.444
F 0.000 4.290 0.000
F 0.000 1.380 8.014

48
Lattice="8.804 0.000 0.000 0.000 11.639 0.000 0.000 0.000 7.123" Properties=species:S:1:pos:R:3 comment="meta-GGA SCAN KTh2F9, single point on PBEsol structure" raw_formation_energy_mev_per_atom=-4193 volume_a3_per_atom=15.2 pbc="T T T"
K 0.301 2.910 1.041
K 4.101 8.729 4.602
K 4.702 2.910 2.521
K 8.503 8.729 6.082
Th 1.537 0.586 4.658
Th 1.537 5.233 4.658
Th 2.865 6.406 1.096
Th 2.865 11.053 1.096
Th 5.939 0.586 6.027
Th 5.939 5.233 6.027
Th 7.266 6.406 2.465
Th 7.266 11.053 2.465
F 0.038 6.974 4.111
F 0.038 10.484 4.111
F 0.573 6.753 1.416
F 0.573 10.705 1.416
F 1.537 2.910 4.729
F 1.828 1.127 6.941
F 1.828 4.692 6.941
F 1.892 7.065 6.110
F 1.892 10.393 6.110
F 2.509 1.246 2.548
F 2.509 4.574 2.548
F 2.574 6.947 3.379
F 2.574 10.512 3.379
F 2.865 8.729 1.168
F 3.829 0.934 4.978
F 3.829 4.886 4.978
F 4.364 1.155 0.549
F 4.364 4.665 0.549
F 4.439 6.974 6.574
F 4.439 10.484 6.574
F 4.975 6.753 2.145
F 4.975 10.705 2.145
F 5.939 2.910 5.956
F 6.230 1.127 3.744
F 6.230 4.692 3.744
F 6.294 7.065 4.575
F 6.294 10.393 4.575
F 6.911 1.246 1.013
F 6.911 4.574 1.013
F 6.976 6.947 0.183
F 6.976 10.512 0.183
F 7.267 8.729 2.394
F 8.231 0.934 5.707
F 8.231 4.886 5.707
F 8.766 1.155 3.012
F 8.766 4.665 3.012

9
Lattice="6.547 0.000 0.000 -3.273 5.670 0.000 0.000 0.000 3.794" Properties=species:S:1:pos:R:3 comment="meta-GGA SCAN K2ThF6, single point on PBEsol structure" raw_formation_energy_mev_per_atom=-3839 volume_a3_per_atom=15.6 pbc="T T T"
K 0.000 3.780 0.000
K 3.273 1.890 0.000
Th 0.000 0.000 1.897
F -0.752 1.303 0.000
F -2.133 3.695 1.897
F 1.505 0.000 0.000
F 1.140 1.975 1.897
F 4.266 0.000 1.897
F 2.521 4.367 0.000